# Nd4Sm3Th (PBE, optimized geometry)
data_Nd4Sm3Th
_symmetry_space_group_name_H-M 'C 1 2/m 1'
_symmetry_Int_Tables_number 12
_cell_length_a 23.790
_cell_length_b 3.507
_cell_length_c 6.953
_cell_angle_alpha 90.00
_cell_angle_beta 106.90
_cell_angle_gamma 90.00
loop_
_symmetry_equiv_pos_as_xyz
'x,y,z'
'-x,-y,-z'
'-x,y,-z'
'x,-y,z'
'x+1/2,y+1/2,z'
'-x+1/2,-y+1/2,-z'
'-x+1/2,y+1/2,-z'
'x+1/2,-y+1/2,z'
loop_
_atom_site_label
_atom_site_fract_x
_atom_site_fract_y
_atom_site_fract_z
_atom_site_occupancy
Nd1 0.122 0.000 0.360 1
Nd2 0.242 0.500 0.239 1
Sm1 0.000 0.000 0.500 1
Sm2 0.122 0.000 0.884 1
Th1 0.000 0.500 0.000 1
# E_tot   -78.7 eV per cell
# Energy above the most stable polymorph in this dataset   1.13 eV/f.u.
# Energy relative to the elements   1.28 eV/f.u.